Below is a geometry-optimized Mn2RhCl structure, with properties calculated at the PBE level.

Cell lengths 7.9404, 7.9404, 7.9404 Å; angles 22.61, 22.61, 22.61 degrees
Last column: nearest neighbours and their distance in Å.
Fractional coordinates of all 4 atoms:
Mn: 0.5016 0.5016 0.5016  3 Rh 2.61, 3 Cl 2.67
Mn: 0.9984 0.9984 0.9984  3 Rh 2.61, 3 Cl 2.67
Rh: 0.2500 0.2500 0.2500  6 Mn 2.61
Cl: 0.7500 0.7500 0.7500  6 Mn 2.67

The polymorph energy (0 for the lowest one) comes out at 115 meV per atom.

Below is a geometry-optimized MnRhCl2 structure, with properties calculated at the PBE level.

Cell lengths 7.3883, 7.3883, 7.3883 Å; angles 155.20, 150.35, 39.03 degrees
Last column: nearest neighbours and their distance in Å.
Fractional coordinates of all 4 atoms:
Cl: 0.0126 0.0126 0.0000  4 Mn 2.69
Cl: 0.7649 0.2649 0.5000  4 Rh 2.49
Mn: 0.4357 0.4357 0.0000  2 Rh 2.61, 4 Cl 2.69
Rh: 0.2867 0.7867 0.5000  4 Cl 2.49, 2 Mn 2.61

The polymorph energy (0 for the lowest one) comes out at 126 meV per atom.

Below is a geometry-optimized Mn2RhCl structure, with properties calculated at the PBE level.

Cell lengths 5.4673, 5.4673, 5.4673 Å; angles 140.52, 140.52, 57.06 degrees
Last column: nearest neighbours and their distance in Å.
Fractional coordinates of all 4 atoms:
Cl: 0.7500 0.2500 0.5000  4 Mn 2.61
Mn: 0.2500 0.7500 0.5000  4 Cl 2.61
Mn: 0.0000 0.0000 0.0000  4 Rh 2.61
Rh: 0.5000 0.5000 0.0000  4 Mn 2.61

The polymorph energy (0 for the lowest one) comes out at 533 meV per atom.

Below is a geometry-optimized MnRh4Cl structure, with properties calculated at the PBE level.

Cell lengths 5.1967, 5.1967, 5.1967 Å; angles 60.00, 60.00, 60.00 degrees
Last column: nearest neighbours and their distance in Å.
Fractional coordinates of all 6 atoms:
Rh: 0.3749 0.3749 0.3749  6 Rh 2.60
Rh: 0.3749 0.8753 0.3749  6 Rh 2.60
Rh: 0.3749 0.3749 0.8753  6 Rh 2.60
Rh: 0.8753 0.3749 0.3749  6 Rh 2.60
Cl: 0.7500 0.7500 0.7500  12 Rh 3.05, 4 Mn 3.18
Mn: 0.0000 0.0000 0.0000  12 Rh 3.05, 4 Cl 3.18

Below is a geometry-optimized MnRhS2Cl structure, with properties calculated at the PBE level.

Cell lengths 4.6729, 4.6729, 4.7107 Å; angles 90.00, 90.00, 90.00 degrees
Last column: nearest neighbours and their distance in Å.
Fractional coordinates of all 5 atoms:
S: 0.0000 0.5000 0.0000  2 Rh 2.34
S: 0.5000 0.0000 0.0000  2 Rh 2.34
Mn: 0.5000 0.5000 0.5000  4 Cl 3.30, 8 S 3.32
Rh: 0.0000 0.0000 0.0000  4 S 2.34, 2 Cl 2.36
Cl: 0.0000 0.0000 0.5000  2 Rh 2.36

The polymorph energy (0 for the lowest one) comes out at 0 meV per atom.

Below is a geometry-optimized MnRhSCl2 structure, with properties calculated at the PBE level.

Cell lengths 4.7183, 4.7183, 4.7548 Å; angles 90.00, 90.00, 90.00 degrees
Last column: nearest neighbours and their distance in Å.
Fractional coordinates of all 5 atoms:
Mn: 0.5000 0.5000 0.5000  4 S 3.34, 8 Cl 3.35
S: 0.0000 0.0000 0.5000  2 Rh 2.38
Rh: 0.0000 0.0000 0.0000  4 Cl 2.36, 2 S 2.38
Cl: 0.0000 0.5000 0.0000  2 Rh 2.36
Cl: 0.5000 0.0000 0.0000  2 Rh 2.36

The polymorph energy (0 for the lowest one) comes out at 0 meV per atom.

Below is a geometry-optimized MnRhSCl2 structure, with properties calculated at the PBE level.

Cell lengths 4.6361, 4.6361, 4.8897 Å; angles 90.00, 90.00, 90.00 degrees
Last column: nearest neighbours and their distance in Å.
Fractional coordinates of all 5 atoms:
Rh: 0.5000 0.5000 0.5000  4 S 3.28, 8 Cl 3.37
S: 0.0000 0.0000 0.5000  2 Mn 2.44
Cl: 0.5000 0.0000 0.0000  2 Mn 2.32
Cl: 0.0000 0.5000 0.0000  2 Mn 2.32
Mn: 0.0000 0.0000 0.0000  4 Cl 2.32, 2 S 2.44

The polymorph energy (0 for the lowest one) comes out at 133 meV per atom.

Below is a geometry-optimized MnRhS2Cl structure, with properties calculated at the PBE level.

Cell lengths 4.3168, 4.3168, 4.7075 Å; angles 90.00, 90.00, 90.00 degrees
Last column: nearest neighbours and their distance in Å.
Fractional coordinates of all 5 atoms:
S: 0.0000 0.5000 0.0000  2 Mn 2.16
S: 0.5000 0.0000 0.0000  2 Mn 2.16
Cl: 0.0000 0.0000 0.5000  2 Mn 2.35
Mn: 0.0000 0.0000 0.0000  4 S 2.16, 2 Cl 2.35
Rh: 0.5000 0.5000 0.5000  4 Cl 3.05, 8 S 3.19

The polymorph energy (0 for the lowest one) comes out at 295 meV per atom.

Below is a geometry-optimized ScMn2RhCl structure, with properties calculated at the PBE level.

Cell lengths 5.2081, 4.5341, 5.2081 Å; angles 90.00, 90.00, 90.00 degrees
Last column: nearest neighbours and their distance in Å.
Fractional coordinates of all 5 atoms:
Cl: 0.5000 0.5000 0.5000  8 Mn 3.45, 4 Rh 3.68
Sc: 0.0000 0.0000 0.0000  2 Rh 2.27
Rh: 0.0000 0.5000 0.0000  2 Sc 2.27
Mn: 0.5000 0.0000 0.0000  2 Sc 2.60
Mn: 0.0000 0.0000 0.5000  2 Sc 2.60

Below is a geometry-optimized MnTlRhCl6 structure, with properties calculated at the PBE level.

Cell lengths 6.4130, 6.4129, 7.1172 Å; angles 90.00, 90.00, 60.00 degrees
Last column: nearest neighbours and their distance in Å.
Fractional coordinates of all 9 atoms:
Cl: 0.3763 0.6432 0.3084  1 Rh 2.37, 1 Mn 2.54
Cl: 0.6431 0.3764 0.6916  1 Rh 2.37, 1 Mn 2.54
Cl: 0.9805 0.6431 0.6916  1 Rh 2.37, 1 Mn 2.54
Cl: 0.9805 0.3763 0.3084  1 Rh 2.37, 1 Mn 2.54
Cl: 0.6432 0.9805 0.3084  1 Rh 2.37, 1 Mn 2.54
Cl: 0.3763 0.9805 0.6916  1 Rh 2.37, 1 Mn 2.54
Mn: 0.3333 0.3334 0.5000  6 Cl 2.54
Rh: 0.6666 0.6667 0.5000  6 Cl 2.37
Tl: 0.0000 0.0000 0.9999  6 Cl 3.22

Below is a geometry-optimized MnVRh2Cl structure, with properties calculated at the PBE level.

Cell lengths 4.4174, 4.2177, 4.4174 Å; angles 90.00, 90.00, 90.00 degrees
Last column: nearest neighbours and their distance in Å.
Fractional coordinates of all 5 atoms:
Rh: 0.0000 0.0000 0.5000  2 Cl 2.21
Rh: 0.5000 0.0000 0.0000  2 Cl 2.21
Cl: 0.0000 0.0000 0.0000  2 V 2.11, 4 Rh 2.21
Mn: 0.5000 0.5000 0.5000  8 Rh 3.05, 4 V 3.12
V: 0.0000 0.5000 0.0000  2 Cl 2.11

Below is a geometry-optimized MnRh2WCl structure, with properties calculated at the PBE level.

Cell lengths 4.4115, 4.1793, 4.4115 Å; angles 90.00, 90.00, 90.00 degrees
Last column: nearest neighbours and their distance in Å.
Fractional coordinates of all 5 atoms:
Mn: 0.0000 0.5000 0.0000  2 Cl 2.09
W: 0.5000 0.5000 0.5000  8 Rh 3.04, 4 Mn 3.12
Rh: 0.5000 0.0000 0.0000  2 Cl 2.21
Rh: 0.0000 0.0000 0.5000  2 Cl 2.21
Cl: 0.0000 0.0000 0.0000  2 Mn 2.09, 4 Rh 2.21

Number 1: ΔE_f (raw) -0.03 eV per atom, M_tot 9.00 Bohr magnetons per cell. Number 2: ΔE_f (raw) -0.16 eV per atom, M_tot 5.05 Bohr magnetons per cell. Number 3: ΔE_f (raw) 0.39 eV per atom, M_tot 9.22 Bohr magnetons per cell. Number 4: ΔE_f (raw) 0.64 eV per atom, M_tot 6.49 Bohr magnetons per cell. Number 5: ΔE_f (raw) 0.27 eV per atom, M_tot 4.25 Bohr magnetons per cell. Number 6: ΔE_f (raw) 0.10 eV per atom, M_tot 4.92 Bohr magnetons per cell. Number 7: ΔE_f (raw) 0.24 eV per atom, M_tot 2.02 Bohr magnetons per cell. Number 8: ΔE_f (raw) 0.56 eV per atom, M_tot 0.00 Bohr magnetons per cell. Number 9: ΔE_f (raw) 1.08 eV per atom, M_tot 8.14 Bohr magnetons per cell. Number 10: ΔE_f (raw) -0.87 eV per atom, M_tot 5.00 Bohr magnetons per cell. Number 11: ΔE_f (raw) 0.57 eV per atom, M_tot 3.16 Bohr magnetons per cell. Number 12: ΔE_f (raw) 1.09 eV per atom, M_tot 0.37 Bohr magnetons per cell.